# 1
ScCoCu: optimized geometry, PBE-GGA.

It has space group F-43m (No. 216), with a = 5.908 Å, b = 5.908 Å, c = 5.908 Å, α = 90.00°, β = 90.00° and γ = 90.00°. The asymmetric unit holds Sc at (0.000, 0.000, 0.000), Co at (0.250, 0.250, 0.250) and Cu at (0.250, 0.250, 0.750).

The formation energy is 0.521 eV/atom.

# 2
ScCo2Cu: optimized geometry, PBE-GGA.

It has space group Imm2 (No. 44), with a = 3.501 Å, b = 3.936 Å, c = 7.769 Å, α = 90.00°, β = 90.00° and γ = 90.00°. The asymmetric unit holds Sc at (0.000, 0.000, 0.000), Co at (0.000, 0.000, 0.480), Co at (0.000, 0.500, 0.759) and Cu at (0.000, 0.500, 0.237).

The formation energy is -0.064 eV/atom.

# 3
ScCoCu2: optimized geometry, PBE-GGA.

It has space group Pmm2 (No. 25), with a = 3.094 Å, b = 3.223 Å, c = 5.567 Å, α = 90.00°, β = 90.00° and γ = 90.00°. The asymmetric unit holds Sc at (0.000, 0.000, 0.000), Co at (0.500, 0.500, 0.254), Cu at (0.000, 0.000, 0.488) and Cu at (0.500, 0.500, 0.703).

The formation energy is -0.090 eV/atom.

# 4
Sc2CoCu: optimized geometry, PBE-GGA.

It has space group Cm (No. 8), with a = 9.826 Å, b = 3.034 Å, c = 4.587 Å, α = 90.00°, β = 105.46° and γ = 90.00°. The asymmetric unit holds Sc at (0.000, 0.000, 0.000), Sc at (0.210, 0.000, 0.630), Co at (0.242, 0.500, 0.141) and Cu at (0.450, 0.000, 0.452).

The offset from the most stable computed form comes out at 0.161 eV/atom. The formation energy is -0.157 eV/atom.

# 5
Sc4Co3Cu: optimized geometry, PBE-GGA.

It has space group P4/mmm (No. 123), with a = 3.133 Å, b = 3.133 Å, c = 12.878 Å, α = 90.00°, β = 90.00° and γ = 90.00°. The asymmetric unit holds Sc at (0.000, 0.000, 0.121), Sc at (0.000, 0.000, 0.363), Co at (0.500, 0.500, 0.000), Co at (0.500, 0.500, 0.245) and Cu at (0.500, 0.500, 0.500).

The formation energy is -0.340 eV/atom.

# 6
ScCo3Cu: optimized geometry, PBE-GGA.

It has space group Pm-3m (No. 221), with a = 4.320 Å, b = 4.320 Å, c = 4.320 Å, α = 90.00°, β = 90.00° and γ = 90.00°. The asymmetric unit holds Sc at (0.000, 0.000, 0.000), Co at (0.000, 0.500, 0.500) and Cu at (0.500, 0.500, 0.500).

The offset from the most stable computed form comes out at 0.000 eV/atom. The formation energy is 0.784 eV/atom.

# 7
ScCoCuSi2: optimized geometry, PBE-GGA.

It has space group I-4m2 (No. 119), with a = 3.826 Å, b = 3.826 Å, c = 9.745 Å, α = 90.00°, β = 90.00° and γ = 90.00°. The asymmetric unit holds Sc at (0.000, 0.000, 0.000), Co at (0.000, 0.500, 0.250), Cu at (0.000, 0.500, 0.750) and Si at (0.000, 0.000, 0.381).

The formation energy without anion corrections is -584.4 meV/atom.

# 8
ScTaCo2Cu: optimized geometry, PBE-GGA.

It has space group P4/mmm (No. 123), with a = 4.415 Å, b = 4.415 Å, c = 4.523 Å, α = 90.00°, β = 90.00° and γ = 90.00°. The asymmetric unit holds Sc at (0.000, 0.000, 0.000), Ta at (0.500, 0.500, 0.000), Co at (0.000, 0.500, 0.500) and Cu at (0.500, 0.500, 0.500).

The formation energy is 0.935 eV/atom.

# 9
TbScCoCu: optimized geometry, PBE-GGA.

It has space group F-43m (No. 216), with a = 6.619 Å, b = 6.619 Å, c = 6.619 Å, α = 90.00°, β = 90.00° and γ = 90.00°. The asymmetric unit holds Tb at (0.000, 0.000, 0.000), Sc at (0.000, 0.000, 0.500), Co at (0.250, 0.250, 0.750) and Cu at (0.250, 0.250, 0.250).

The formation energy is -0.209 eV/atom.

# 10
ScCoCuTc: optimized geometry, PBE-GGA.

It has space group F-43m (No. 216), with a = 6.143 Å, b = 6.143 Å, c = 6.143 Å, α = 90.00°, β = 90.00° and γ = 90.00°. The asymmetric unit holds Sc at (0.000, 0.000, 0.000), Co at (0.250, 0.250, 0.250), Cu at (0.250, 0.250, 0.750) and Tc at (0.000, 0.000, 0.500).

The formation energy is 0.017 eV/atom.

# 11
ScTi2CoCu: optimized geometry, PBE-GGA.

It has space group P4/mmm (No. 123), with a = 4.652 Å, b = 4.652 Å, c = 4.217 Å, α = 90.00°, β = 90.00° and γ = 90.00°. The asymmetric unit holds Sc at (0.000, 0.000, 0.000), Ti at (0.000, 0.500, 0.000), Co at (0.000, 0.000, 0.500) and Cu at (0.500, 0.500, 0.500).

The formation energy is 1.301 eV/atom.

# 12
ScTl2CoCu: optimized geometry, PBE-GGA.

It has space group P4/mmm (No. 123), with a = 4.898 Å, b = 4.898 Å, c = 4.602 Å, α = 90.00°, β = 90.00° and γ = 90.00°. The asymmetric unit holds Sc at (0.000, 0.000, 0.000), Tl at (0.000, 0.500, 0.500), Co at (0.500, 0.500, 0.500) and Cu at (0.500, 0.500, 0.000).

The formation energy is 0.450 eV/atom.

# 13
ScCo2CuW: optimized geometry, PBE-GGA.

It has space group P4/mmm (No. 123), with a = 4.188 Å, b = 4.188 Å, c = 4.458 Å, α = 90.00°, β = 90.00° and γ = 90.00°. The asymmetric unit holds Sc at (0.000, 0.000, 0.000), Co at (0.000, 0.500, 0.000), Cu at (0.000, 0.000, 0.500) and W at (0.500, 0.500, 0.500).

The formation energy is 1.561 eV/atom.

# 14
Sc2Zn2CoCu5: optimized geometry, PBE-GGA.

It has space group P4/mbm (No. 127), with a = 9.102 Å, b = 9.102 Å, c = 3.549 Å, α = 90.00°, β = 90.00° and γ = 90.00°. The asymmetric unit holds Sc at (0.177, 0.323, 0.000), Zn at (0.123, 0.623, 0.000), Co at (0.000, 0.000, 0.000), Cu at (0.000, 0.500, 0.500) and Cu at (0.051, 0.807, 0.500).

The formation energy is -0.031 eV/atom.

# 15
Sc2Zn5Co2Cu: optimized geometry, PBE-GGA.

It has space group P4/mbm (No. 127), with a = 8.696 Å, b = 8.696 Å, c = 3.980 Å, α = 90.00°, β = 90.00° and γ = 90.00°. The asymmetric unit holds Sc at (0.175, 0.325, 0.000), Zn at (0.000, 0.500, 0.500), Zn at (0.066, 0.796, 0.500), Co at (0.119, 0.619, 0.000) and Cu at (0.000, 0.000, 0.000).

The formation energy is -0.202 eV/atom.

# 16
Sc4ZnCo2Cu: optimized geometry, PBE-GGA.

It has space group R-3m (No. 166, hexagonal axes), with a = 4.5390 Å, b = 4.5390 Å, c = 22.2836 Å, α = 90.00°, β = 90.00° and γ = 120.00°. The asymmetric unit holds Sc at (0.0000, 0.0000, 0.1232), Sc at (0.0000, 0.0000, 0.3735), Zn at (0.0000, 0.0000, 0.5000), Co at (0.0000, 0.0000, 0.2494) and Cu at (0.0000, 0.0000, 0.0000).

The formation energy is -0.317 eV/atom.

# 17
Sc5Zn2Co2Cu: optimized geometry, PBE-GGA.

It has space group P4/mbm (No. 127), with a = 10.515 Å, b = 10.515 Å, c = 3.302 Å, α = 90.00°, β = 90.00° and γ = 90.00°. The asymmetric unit holds Sc at (0.000, 0.500, 0.000), Sc at (0.080, 0.200, 0.000), Zn at (0.173, 0.673, 0.500), Co at (0.132, 0.368, 0.500) and Cu at (0.000, 0.000, 0.500).

The formation energy is -0.219 eV/atom.

# 18
Sc4ZnCoCu2: optimized geometry, PBE-GGA.

It has space group R-3m (No. 166, hexagonal axes), with a = 4.5907 Å, b = 4.5907 Å, c = 22.5205 Å, α = 90.00°, β = 90.00° and γ = 120.00°. The asymmetric unit holds Sc at (0.0000, 0.0000, 0.1188), Sc at (0.0000, 0.0000, 0.3700), Zn at (0.0000, 0.0000, 0.5000), Co at (0.0000, 0.0000, 0.0000) and Cu at (0.0000, 0.0000, 0.2463).

The formation energy is -0.324 eV/atom.

# 19
Sc2Zn5CoCu2: optimized geometry, PBE-GGA.

It has space group P4/mbm (No. 127), with a = 8.864 Å, b = 8.864 Å, c = 3.908 Å, α = 90.00°, β = 90.00° and γ = 90.00°. The asymmetric unit holds Sc at (0.180, 0.320, 0.000), Zn at (0.000, 0.500, 0.500), Zn at (0.056, 0.801, 0.500), Co at (0.000, 0.000, 0.000) and Cu at (0.117, 0.617, 0.000).

The formation energy is -0.171 eV/atom.

# 20
ZrScCoCu: optimized geometry, PBE-GGA.

It has space group F-43m (No. 216), with a = 6.421 Å, b = 6.421 Å, c = 6.421 Å, α = 90.00°, β = 90.00° and γ = 90.00°. The asymmetric unit holds Zr at (0.000, 0.000, 0.000), Sc at (0.000, 0.000, 0.500), Co at (0.250, 0.250, 0.750) and Cu at (0.250, 0.250, 0.250).

The formation energy is -0.263 eV/atom.

# 21
CoCuSe2: optimized geometry, PBE-GGA.

It has space group P2/m (No. 10), with a = 2.837 Å, b = 3.455 Å, c = 6.855 Å, α = 90.00°, β = 92.84° and γ = 90.00°. The asymmetric unit holds Co at (0.000, 0.000, 0.000), Cu at (0.000, 0.000, 0.500) and Se at (0.136, 0.500, 0.231).

The formation energy without anion corrections is 186.3 meV/atom.

# 22
CoCuSe2: optimized geometry, PBE-GGA.

It has space group P4/mmm (No. 123), with a = 3.098 Å, b = 3.098 Å, c = 6.285 Å, α = 90.00°, β = 90.00° and γ = 90.00°. The asymmetric unit holds Co at (0.000, 0.000, 0.000), Cu at (0.000, 0.000, 0.500) and Se at (0.500, 0.500, 0.230).

The formation energy without anion corrections is 261.0 meV/atom.

# 23
Co2CuSe: optimized geometry, PBE-GGA.

It has space group P2/m (No. 10), with a = 2.835 Å, b = 3.761 Å, c = 5.058 Å, α = 90.00°, β = 106.26° and γ = 90.00°. The asymmetric unit holds Co at (0.143, 0.000, 0.254), Cu at (0.500, 0.500, 0.000) and Se at (0.500, 0.500, 0.500).

The formation energy without anion corrections is 302.2 meV/atom.

# 24
CoCuSe2: optimized geometry, PBE-GGA.

It has space group F-43m (No. 216), with a = 6.354 Å, b = 6.354 Å, c = 6.354 Å, α = 90.00°, β = 90.00° and γ = 90.00°. The asymmetric unit holds Co at (0.000, 0.000, 0.000), Cu at (0.250, 0.250, 0.250), Se at (0.000, 0.000, 0.500) and Se at (0.250, 0.250, 0.750).

The formation energy without anion corrections is 691.7 meV/atom.

# 25
CoCuSe2: optimized geometry, PBE-GGA.

It has space group R-3m (No. 166, hexagonal axes), with a = 3.5660 Å, b = 3.5660 Å, c = 21.0093 Å, α = 90.00°, β = 90.00° and γ = 120.00°. The asymmetric unit holds Co at (0.0000, 0.0000, 0.0000), Cu at (0.0000, 0.0000, 0.5000) and Se at (0.0000, 0.0000, 0.3908).

The formation energy without anion corrections is -138.7 meV/atom.

# 26
CoCu2Se: optimized geometry, PBE-GGA.

It has space group F-43m (No. 216), with a = 5.931 Å, b = 5.931 Å, c = 5.931 Å, α = 90.00°, β = 90.00° and γ = 90.00°. The asymmetric unit holds Co at (0.000, 0.000, 0.000), Cu at (0.000, 0.000, 0.500), Cu at (0.250, 0.250, 0.250) and Se at (0.250, 0.250, 0.750).

The formation energy without anion corrections is 304.7 meV/atom.

Number 1: E -0.196 Ha/atom. Number 2: E -0.229 Ha/atom. Number 3: E -0.202 Ha/atom. Number 4: E -0.225 Ha/atom. Number 5: E -0.246 Ha/atom. Number 6: E -0.205 Ha/atom. Number 7: E -0.230 Ha/atom. Number 8: E -0.234 Ha/atom. Number 9: E -0.211 Ha/atom. Number 10: E -0.256 Ha/atom. Number 11: E -0.197 Ha/atom. Number 12: E -0.147 Ha/atom. Number 13: E -0.219 Ha/atom. Number 14: E -0.158 Ha/atom. Number 15: E -0.145 Ha/atom. Number 16: E -0.218 Ha/atom. Number 17: E -0.201 Ha/atom. Number 18: E -0.204 Ha/atom. Number 19: E -0.132 Ha/atom. Number 20: E -0.249 Ha/atom. Number 21: E -0.160 Ha/atom. Number 22: E -0.157 Ha/atom. Number 23: E -0.189 Ha/atom. Number 24: E -0.142 Ha/atom. Number 25: E -0.172 Ha/atom. Number 26: E -0.161 Ha/atom.